Computed, not measured: a geometry-optimized Sr6CdGe2 structure at the PBE level of DFT.

```
18
Lattice="-8.602 -4.229 -0.394 7.054 -6.479 0.538 0.842 5.451 7.849" Properties=species:S:1:pos:R:3 pbc="T T T"
Sr 0.389 -0.009 3.497
Sr 1.109 -2.473 6.627
Ge 0.118 -5.470 1.020
Sr 1.789 2.233 6.563
Cd 0.000 0.000 0.000
Sr -1.094 -5.248 4.496
Ge -2.670 0.421 2.566
Sr -5.163 -4.719 0.174
Sr 2.115 -3.735 2.813
Sr 4.458 -0.539 7.819
Sr -2.820 -1.522 5.180
Sr 4.800 -4.085 5.666
Sr -2.494 -7.490 1.431
Sr -1.814 -2.784 1.367
Ge -5.089 0.801 4.889
Cd 3.948 -0.514 4.194
Sr -5.505 -1.172 2.328
Ge -0.823 0.213 6.974
```

Computed properties:
M_tot = 0.83 μB/f.u.
DFT total energy = -2.617 eV/atom
Crystal system = orthorhombic
DFT formation energy = -0.368 eV/atom
Space group = Immm, No. 71
Calculated density = 3.840 g/cm³
Fermi-level density of states = 15.7 states/eV per cell